a) Material: KInGaAg2
Method: DFT, PBE-GGA
State: relaxed

DOS at the Fermi energy	0.349	states/eV per atom

Cell: 5.148 5.148 5.281 Å, 90.00 90.00 90.00°
Atoms (fractional coordinates):
1 K 0.500 0.500 0.500
2 Ga 0.000 0.000 0.000
3 Ag 0.000 0.500 0.000
4 Ag 0.500 0.000 0.000
5 In 0.000 0.000 0.500

***

b) Material: KInGaAg2
Method: DFT, PBE-GGA
State: relaxed

DOS at the Fermi energy	0.340	states/eV per atom

Cell: 4.686 4.558 6.757 Å, 109.71 110.29 90.00°
Atoms (fractional coordinates):
1 K 0.445 0.445 0.889
2 In 0.194 0.694 0.388
3 Ga 0.825 0.825 0.651
4 Ag 0.700 0.200 0.399
5 Ag 0.049 0.049 0.097

***

Which is most stable, and by how much? b), by 142 meV/atom.

***

a) Material: MgInGaAg
Method: DFT, PBE-GGA
State: relaxed

DOS at the Fermi energy	0.493	states/eV per atom

Cell: 4.900 4.900 4.900 Å, 60.00 60.00 60.00°
Atoms (fractional coordinates):
1 Mg 0.500 0.500 0.500
2 Ga 0.750 0.750 0.750
3 Ag 0.250 0.250 0.250
4 In 0.000 0.000 0.000

***

b) Material: MgInGaAg
Method: DFT, PBE-GGA
State: relaxed

DOS at the Fermi energy	0.408	states/eV per atom

Cell: 4.478 4.582 5.588 Å, 115.68 90.00 119.25°
Atoms (fractional coordinates):
1 Mg 0.268 0.535 0.542
2 In 0.058 0.117 0.895
3 Ga 0.480 0.960 0.164
4 Ag 0.856 0.713 0.298

***

Which is most stable, and by how much? b), by 37 meV/atom.

***

a) Material: Ga3AgIr
Method: DFT, PBE-GGA
State: relaxed

DOS at the Fermi energy	0.328	states/eV per atom

Cell: 5.756 5.764 5.890 Å, 90.00 90.00 70.25°
Atoms (fractional coordinates):
1 Ga 0.050 0.252 0.552
2 Ga 0.511 0.713 0.052
3 Ga 0.477 0.286 0.802
4 Ga 0.477 0.286 0.302
5 Ga 0.083 0.680 0.302
6 Ga 0.083 0.680 0.802
7 Ag 0.062 0.266 0.052
8 Ag 0.498 0.700 0.552
9 Ir 0.792 0.995 0.552
10 Ir 0.768 0.971 0.052

***

b) Material: Ga3AgIr
Method: DFT, PBE-GGA
State: relaxed

DOS at the Fermi energy	0.420	states/eV per atom

Cell: 4.809 4.809 4.809 Å, 90.00 90.00 90.00°
Atoms (fractional coordinates):
1 Ir 0.000 0.000 0.000
2 Ga 0.000 0.500 0.000
3 Ga 0.000 0.000 0.500
4 Ga 0.500 0.000 0.000
5 Ag 0.500 0.500 0.500

***

Which is most stable, and by how much? a), by 11 meV/atom.

***

a) Material: K2GaAg
Method: DFT, PBE-GGA
State: relaxed

DOS at the Fermi energy	0.404	states/eV per atom

Cell: 9.423 9.423 7.343 Å, 50.08 50.08 90.00°
Atoms (fractional coordinates):
1 K 0.650 0.125 0.250
2 K 0.100 0.625 0.250
3 K 0.375 0.350 0.750
4 K 0.875 0.900 0.750
5 Ga 0.500 0.500 0.000
6 Ga 0.250 0.750 0.500
7 Ag 0.000 0.000 0.000
8 Ag 0.750 0.250 0.500

***

b) Material: K2GaAg
Method: DFT, PBE-GGA
State: relaxed

DOS at the Fermi energy	1.120	states/eV per atom

Cell: 5.813 5.813 5.813 Å, 60.00 60.00 60.00°
Each line ends with the local moment (μB).
Atoms (fractional coordinates):
1 K 0.250 0.250 0.250  0.02
2 K 0.750 0.750 0.750  0.02
3 Ga 0.000 0.000 0.000  0.17
4 Ag 0.500 0.500 0.500  0.00

***

c) Material: K2GaAg
Method: DFT, PBE-GGA
State: relaxed

DOS at the Fermi energy	0.385	states/eV per atom

Cell: 6.243 6.681 6.681 Å, 103.66 90.00 90.00°
Atoms (fractional coordinates):
1 K 0.750 0.027 0.675
2 K 0.250 0.973 0.325
3 K 0.250 0.325 0.973
4 K 0.750 0.675 0.027
5 Ga 0.000 0.500 0.500
6 Ga 0.500 0.500 0.500
7 Ag 0.750 0.239 0.239
8 Ag 0.250 0.761 0.761

***

d) Material: K2GaAg
Method: DFT, PBE-GGA
State: relaxed

DOS at the Fermi energy	0.639	states/eV per atom

Cell: 3.921 3.921 11.912 Å, 80.53 80.53 60.00°
Atoms (fractional coordinates):
1 K 0.097 0.097 0.709
2 K 0.903 0.903 0.291
3 Ga 0.000 0.000 0.000
4 Ag 0.500 0.500 0.500

***

Which is most stable, and by how much? c), by 229 meV/atom.

***

a) Material: KGa3Ag
Method: DFT, PBE-GGA
State: relaxed

DOS at the Fermi energy	1.351	states/eV per atom

Cell: 5.704 5.704 5.704 Å, 90.00 90.00 90.00°
Atoms (fractional coordinates):
1 K 0.000 0.000 0.000
2 Ga 0.000 0.500 0.000
3 Ga 0.000 0.000 0.500
4 Ga 0.500 0.000 0.000
5 Ag 0.500 0.500 0.500

***

b) Material: KGa3Ag
Method: DFT, PBE-GGA
State: relaxed

DOS at the Fermi energy	0.551	states/eV per atom

Cell: 5.174 5.174 5.174 Å, 90.00 90.00 90.00°
Atoms (fractional coordinates):
1 K 0.500 0.500 0.500
2 Ga 0.000 0.500 0.000
3 Ga 0.000 0.000 0.500
4 Ga 0.500 0.000 0.000
5 Ag 0.000 0.000 0.000

***

Which is most stable, and by how much? b), by 972 meV/atom.

***

a) Material: K2Ga2Ag
Method: DFT, PBE-GGA
State: relaxed

DOS at the Fermi energy	0.499	states/eV per atom

Cell: 6.679 6.679 7.586 Å, 90.00 90.00 105.54°
Atoms (fractional coordinates):
1 K 0.810 0.190 0.000
2 K 0.190 0.810 0.500
3 K 0.190 0.810 0.000
4 K 0.810 0.190 0.500
5 Ga 0.348 0.348 0.411
6 Ga 0.652 0.652 0.911
7 Ga 0.348 0.348 0.089
8 Ga 0.652 0.652 0.589
9 Ag 0.340 0.340 0.750
10 Ag 0.660 0.660 0.250

***

b) Material: K2Ga2Ag
Method: DFT, PBE-GGA
State: relaxed

DOS at the Fermi energy	0.461	states/eV per atom

Cell: 7.039 7.039 5.794 Å, 90.00 90.00 90.00°
Atoms (fractional coordinates):
1 K 0.187 0.687 0.500
2 K 0.687 0.813 0.500
3 K 0.813 0.313 0.500
4 K 0.313 0.187 0.500
5 Ga 0.374 0.874 0.000
6 Ga 0.874 0.626 0.000
7 Ga 0.626 0.126 0.000
8 Ga 0.126 0.374 0.000
9 Ag 0.000 0.000 0.000
10 Ag 0.500 0.500 0.000

***

Which is most stable, and by how much? a), by 76 meV/atom.

***

a) Material: KGaAg2Pt
Method: DFT, PBE-GGA
State: relaxed

DOS at the Fermi energy	0.441	states/eV per atom

Cell: 5.068 4.814 5.068 Å, 90.00 90.00 90.00°
Atoms (fractional coordinates):
1 K 0.500 0.500 0.500
2 Ga 0.000 0.000 0.000
3 Ag 0.000 0.000 0.500
4 Ag 0.500 0.000 0.000
5 Pt 0.000 0.500 0.000

***

b) Material: KGaAg2Pt
Method: DFT, PBE-GGA
State: relaxed

DOS at the Fermi energy	0.278	states/eV per atom

Cell: 5.333 5.333 4.782 Å, 90.00 90.00 90.00°
Atoms (fractional coordinates):
1 K 0.500 0.500 0.500
2 Ga 0.000 0.000 0.500
3 Ag 0.000 0.500 0.000
4 Ag 0.500 0.000 0.000
5 Pt 0.000 0.000 0.000

***

Which is most stable, and by how much? b), by 163 meV/atom.

***

a) Material: KGaAgSn2
Method: DFT, PBE-GGA
State: relaxed

DOS at the Fermi energy	0.595	states/eV per atom

Cell: 5.335 6.092 5.335 Å, 90.00 90.00 90.00°
Atoms (fractional coordinates):
1 K 0.000 0.500 0.000
2 Ga 0.000 0.000 0.000
3 Sn 0.000 0.000 0.500
4 Sn 0.500 0.000 0.000
5 Ag 0.500 0.500 0.500

***

b) Material: KGaAgSn2
Method: DFT, PBE-GGA
State: relaxed

DOS at the Fermi energy	0.238	states/eV per atom

Cell: 4.798 4.798 6.873 Å, 110.43 110.43 90.00°
Atoms (fractional coordinates):
1 K 0.000 0.000 0.000
2 Ga 0.750 0.250 0.500
3 Ag 0.250 0.750 0.500
4 Sn 0.622 0.622 0.244
5 Sn 0.378 0.378 0.756

***

Which is most stable, and by how much? b), by 533 meV/atom.